# 1
Below is a geometry-optimized LaMg2TiNb structure, with properties calculated at the PBE level.

## Properties
M_tot = 0.00 μB/cell
mass density = 4.022 g/cm3
E = -3.415 eV per atom
energy of formation = 1.80 eV/atom

abc: 5.3228 5.3228 4.7841
angles: 90.00 90.00 90.00
With the nearest neighbours (Å) after each atom.
Positions (direct):
La  0.0000  0.0000  0.0000  2 Ti 2.39, 4 Mg 2.66
Mg  0.0000  0.5000  0.0000  2 La 2.66
Mg  0.5000  0.0000  0.0000  2 La 2.66
Ti  0.0000  0.0000  0.5000  2 La 2.39
Nb  0.5000  0.5000  0.5000  8 Mg 3.58, 4 Ti 3.76

# 2
Below is a geometry-optimized La2MgTiNb structure, with properties calculated at the PBE level.

## Properties
M_tot = 0.21 μB/cell
mass density = 4.663 g/cm3
E = -4.521 eV per atom
energy of formation = 1.36 eV/atom

abc: 5.6302 5.6302 4.9750
angles: 90.00 90.00 90.00
With the nearest neighbours (Å) after each atom.
Positions (direct):
La  0.0000  0.5000  0.0000  2 Mg 2.82
La  0.5000  0.0000  0.0000  2 Mg 2.82
Mg  0.0000  0.0000  0.0000  2 Nb 2.49
Ti  0.5000  0.5000  0.5000  8 La 3.76, 4 Nb 3.98
Nb  0.0000  0.0000  0.5000  2 Mg 2.49